a.
Compound: Na2Cd2Rh
Source: the Alexandria database
Functional: PBE
Structure: optimized geometry

a = 7.1030 Å, b = 7.1030 Å, c = 4.1999 Å
α = 90.00°, β = 90.00°, γ = 90.00°
Last column: nearest neighbours and their distance in Å.
Space group P4/mbm (No. 127)
Symmetry-distinct sites (fractional):
Na  0.1309  0.3691  0.0000 [4 per cell]  1 Na 2.63, 2 Rh 2.78, 2 Cd 2.81
Cd  0.1827  0.6827  0.5000 [4 per cell]  6 Na 2.81-3.08
Rh  0.0000  0.0000  0.0000 [2 per cell]  4 Na 2.78

---

b.
Compound: Na2Cd2Rh
Source: the Alexandria database
Functional: PBE
Structure: optimized geometry

a = 3.9116 Å, b = 3.9116 Å, c = 16.2509 Å
α = 90.00°, β = 90.00°, γ = 90.00°
Last column: nearest neighbours and their distance in Å.
Space group I4/mmm (No. 139)
Symmetry-distinct sites (fractional):
Na  0.0000  0.0000  0.0865 [4 per cell]  1 Na 2.81, 4 Rh 3.10
Cd  0.0000  0.5000  0.2500 [4 per cell]  4 Cd 2.77
Rh  0.0000  0.0000  0.5000 [2 per cell]  8 Na 3.10

---

The structure with the least stability is b.

---

a.
Compound: NaCd3Rh
Source: the Alexandria database
Functional: PBE
Structure: optimized geometry

a = 6.7405 Å, b = 12.2177 Å, c = 3.0980 Å
α = 90.00°, β = 117.20°, γ = 90.00°
Last column: nearest neighbours and their distance in Å.
Space group C2 (No. 5)
Symmetry-distinct sites (fractional):
Na  0.0000  0.0000  0.0000 [2 per cell]  2 Na 3.10, 2 Rh 3.17
Cd  0.0000  0.5979  0.0000 [2 per cell]  2 Rh 2.72
Cd  0.2497  0.2769  0.2496 [4 per cell]  2 Rh 2.73-2.74, 2 Cd 2.99-3.00
Rh  0.0000  0.4147  0.5000 [2 per cell]  6 Cd 2.72-2.74

---

b.
Compound: NaCd3Rh
Source: the Alexandria database
Functional: PBE
Structure: optimized geometry

a = 5.2041 Å, b = 5.2041 Å, c = 5.2041 Å
α = 90.00°, β = 90.00°, γ = 90.00°
Last column: nearest neighbours and their distance in Å.
Space group Pm-3m (No. 221)
Symmetry-distinct sites (fractional):
Na  0.0000  0.0000  0.0000 [1 per cell]  12 Cd 3.68
Cd  0.0000  0.5000  0.5000 [3 per cell]  2 Rh 2.60
Rh  0.5000  0.5000  0.5000 [1 per cell]  6 Cd 2.60

---

The structure with the least stability is b.

---

a.
Compound: NaSrCd2Rh
Source: the Alexandria database
Functional: PBE
Structure: optimized geometry

a = 5.3284 Å, b = 5.3284 Å, c = 5.4958 Å
α = 90.00°, β = 90.00°, γ = 90.00°
Last column: nearest neighbours and their distance in Å.
Space group P4/mmm (No. 123)
Symmetry-distinct sites (fractional):
Na  0.0000  0.0000  0.0000 [1 per cell]  4 Sr 3.77, 8 Cd 3.83
Sr  0.5000  0.5000  0.0000 [1 per cell]  2 Rh 2.75
Cd  0.0000  0.5000  0.5000 [2 per cell]  2 Rh 2.66
Rh  0.5000  0.5000  0.5000 [1 per cell]  4 Cd 2.66, 2 Sr 2.75

---

b.
Compound: NaSrCd2Rh
Source: the Alexandria database
Functional: PBE
Structure: optimized geometry

a = 5.2440 Å, b = 5.2440 Å, c = 5.2340 Å
α = 90.00°, β = 90.00°, γ = 90.00°
Last column: nearest neighbours and their distance in Å.
Space group P4/mmm (No. 123)
Symmetry-distinct sites (fractional):
Na  0.0000  0.0000  0.0000 [1 per cell]  2 Rh 2.62
Sr  0.5000  0.5000  0.0000 [1 per cell]  8 Cd 3.70, 4 Na 3.71
Cd  0.0000  0.5000  0.5000 [2 per cell]  2 Rh 2.62
Rh  0.0000  0.0000  0.5000 [1 per cell]  2 Na 2.62, 4 Cd 2.62

---

The structure with the least stability is b.

---

a.
Compound: NaSr2CdRh
Source: the Alexandria database
Functional: PBE
Structure: optimized geometry

a = 5.7061 Å, b = 5.7061 Å, c = 5.4495 Å
α = 90.00°, β = 90.00°, γ = 90.00°
Last column: nearest neighbours and their distance in Å.
Space group P4/mmm (No. 123)
Symmetry-distinct sites (fractional):
Na  0.0000  0.0000  0.0000 [1 per cell]  2 Rh 2.72
Sr  0.0000  0.5000  0.5000 [2 per cell]  2 Rh 2.85
Cd  0.5000  0.5000  0.0000 [1 per cell]  8 Sr 3.95, 4 Na 4.03
Rh  0.0000  0.0000  0.5000 [1 per cell]  2 Na 2.72, 4 Sr 2.85

---

b.
Compound: NaSr2CdRh
Source: the Alexandria database
Functional: PBE
Structure: optimized geometry

a = 5.7517 Å, b = 5.7517 Å, c = 5.3843 Å
α = 90.00°, β = 90.00°, γ = 90.00°
Last column: nearest neighbours and their distance in Å.
Space group P4/mmm (No. 123)
Symmetry-distinct sites (fractional):
Na  0.0000  0.0000  0.0000 [1 per cell]  8 Sr 3.94, 4 Cd 4.07
Sr  0.0000  0.5000  0.5000 [2 per cell]  2 Rh 2.88
Cd  0.5000  0.5000  0.0000 [1 per cell]  2 Rh 2.69
Rh  0.5000  0.5000  0.5000 [1 per cell]  2 Cd 2.69, 4 Sr 2.88

---

The structure with the least stability is a.

---

a.
Compound: NaCdRu3
Source: the Alexandria database
Functional: PBE
Structure: optimized geometry

a = 4.6080 Å, b = 4.6080 Å, c = 4.6080 Å
α = 90.00°, β = 90.00°, γ = 90.00°
Last column: nearest neighbours and their distance in Å.
Space group Pm-3m (No. 221)
Symmetry-distinct sites (fractional):
Na  0.0000  0.0000  0.0000 [1 per cell]  6 Ru 2.30
Cd  0.5000  0.5000  0.5000 [1 per cell]  12 Ru 3.26
Ru  0.0000  0.0000  0.5000 [3 per cell]  2 Na 2.30

---

b.
Compound: NaCdRu3
Source: the Alexandria database
Functional: PBE
Structure: optimized geometry

a = 5.0106 Å, b = 5.0106 Å, c = 5.0106 Å
α = 90.00°, β = 90.00°, γ = 90.00°
Last column: nearest neighbours and their distance in Å.
Space group Pm-3m (No. 221)
Symmetry-distinct sites (fractional):
Na  0.0000  0.0000  0.0000 [1 per cell]  12 Ru 3.54
Cd  0.5000  0.5000  0.5000 [1 per cell]  6 Ru 2.51
Ru  0.0000  0.5000  0.5000 [3 per cell]  2 Cd 2.51

---

The structure with the least stability is a.

---

a.
Compound: Na2Cd2S3
Source: the Alexandria database
Functional: PBE
Structure: optimized geometry

a = 15.5275 Å, b = 13.6158 Å, c = 7.2664 Å
α = 90.00°, β = 117.65°, γ = 90.00°
Last column: nearest neighbours and their distance in Å.
Space group C2/c (No. 15)
Symmetry-distinct sites (fractional):
Na  0.0000  0.0764  0.2500 [4 per cell]  6 S 2.98-3.00
Na  0.0000  0.2219  0.7500 [4 per cell]  6 S 2.97-3.04, 2 Na 3.33
Na  0.0952  0.4164  0.6344 [8 per cell]  4 S 2.77-2.89
Cd  0.1768  0.2370  0.2531 [8 per cell]  4 S 2.55-2.67
Cd  0.2058  0.0735  0.8007 [8 per cell]  4 S 2.55-2.62
S  0.1123  0.3913  0.0320 [8 per cell]  2 Cd 2.55, 2 Na 2.77-2.80
S  0.1304  0.0742  0.0520 [8 per cell]  3 Cd 2.57-2.59
S  0.1326  0.2252  0.5548 [8 per cell]  3 Cd 2.59-2.67, 1 Na 2.79

---

b.
Compound: Na2Cd2S3
Source: the Alexandria database
Functional: PBE
Structure: optimized geometry

a = 13.6891 Å, b = 4.1049 Å, c = 6.9519 Å
α = 90.00°, β = 113.16°, γ = 90.00°
Last column: nearest neighbours and their distance in Å.
Space group C2/m (No. 12)
Symmetry-distinct sites (fractional):
Na  0.1052  0.0000  0.3696 [4 per cell]  5 S 2.85-3.08
Cd  0.1763  0.5000  0.8076 [4 per cell]  4 S 2.52-2.62
S  0.0000  0.5000  0.5000 [2 per cell]  2 Cd 2.52
S  0.2069  0.5000  0.2017 [4 per cell]  3 Cd 2.60-2.62

---

The structure with the least stability is b.

---

a.
Compound: NaCdS3
Source: the Alexandria database
Functional: PBE
Structure: optimized geometry

a = 5.0389 Å, b = 5.0389 Å, c = 5.0389 Å
α = 90.00°, β = 90.00°, γ = 90.00°
Last column: nearest neighbours and their distance in Å.
Space group Pm-3m (No. 221)
Symmetry-distinct sites (fractional):
Na  0.0000  0.0000  0.0000 [1 per cell]  12 S 3.56
Cd  0.5000  0.5000  0.5000 [1 per cell]  6 S 2.52
S  0.0000  0.5000  0.5000 [3 per cell]  2 Cd 2.52

---

b.
Compound: NaCdS3
Source: the Alexandria database
Functional: PBE
Structure: optimized geometry

a = 4.9556 Å, b = 4.9556 Å, c = 4.9556 Å
α = 90.00°, β = 90.00°, γ = 90.00°
Last column: nearest neighbours and their distance in Å.
Space group Pm-3m (No. 221)
Symmetry-distinct sites (fractional):
Na  0.0000  0.0000  0.0000 [1 per cell]  6 S 2.48
Cd  0.5000  0.5000  0.5000 [1 per cell]  12 S 3.50
S  0.0000  0.0000  0.5000 [3 per cell]  2 Na 2.48

---

The structure with the least stability is b.

---

a.
Compound: NaCd3S
Source: the Alexandria database
Functional: PBE
Structure: optimized geometry

a = 5.5311 Å, b = 5.5311 Å, c = 5.5311 Å
α = 90.00°, β = 90.00°, γ = 90.00°
Last column: nearest neighbours and their distance in Å.
Space group Pm-3m (No. 221)
Symmetry-distinct sites (fractional):
Na  0.0000  0.0000  0.0000 [1 per cell]  6 Cd 2.77
Cd  0.0000  0.0000  0.5000 [3 per cell]  2 Na 2.77
S  0.5000  0.5000  0.5000 [1 per cell]  12 Cd 3.91

---

b.
Compound: NaCd3S
Source: the Alexandria database
Functional: PBE
Structure: optimized geometry

a = 5.3425 Å, b = 5.3425 Å, c = 5.3425 Å
α = 90.00°, β = 90.00°, γ = 90.00°
Last column: nearest neighbours and their distance in Å.
Space group Pm-3m (No. 221)
Symmetry-distinct sites (fractional):
Na  0.0000  0.0000  0.0000 [1 per cell]  12 Cd 3.78
Cd  0.0000  0.5000  0.5000 [3 per cell]  2 S 2.67
S  0.5000  0.5000  0.5000 [1 per cell]  6 Cd 2.67

---

The structure with the least stability is a.

---

a.
Compound: Na3CdS
Source: the Alexandria database
Functional: PBE
Structure: optimized geometry

a = 5.3636 Å, b = 5.3636 Å, c = 5.3636 Å
α = 90.00°, β = 90.00°, γ = 90.00°
Last column: nearest neighbours and their distance in Å.
Space group Pm-3m (No. 221)
Symmetry-distinct sites (fractional):
Na  0.0000  0.0000  0.5000 [3 per cell]  2 S 2.68
Cd  0.5000  0.5000  0.5000 [1 per cell]  12 Na 3.79
S  0.0000  0.0000  0.0000 [1 per cell]  6 Na 2.68

---

b.
Compound: Na3CdS
Source: the Alexandria database
Functional: PBE
Structure: optimized geometry

a = 5.5291 Å, b = 5.5291 Å, c = 5.5291 Å
α = 90.00°, β = 90.00°, γ = 90.00°
Last column: nearest neighbours and their distance in Å.
Space group Pm-3m (No. 221)
Symmetry-distinct sites (fractional):
Na  0.0000  0.0000  0.5000 [3 per cell]  2 Cd 2.76
Cd  0.0000  0.0000  0.0000 [1 per cell]  6 Na 2.76
S  0.5000  0.5000  0.5000 [1 per cell]  12 Na 3.91

---

The structure with the least stability is b.

---

a.
Compound: NaCd2S2
Source: the Alexandria database
Functional: PBE
Structure: optimized geometry

a = 4.3436 Å, b = 4.3436 Å, c = 13.6576 Å
α = 90.00°, β = 90.00°, γ = 90.00°
Last column: nearest neighbours and their distance in Å.
Space group I4/mmm (No. 139)
Symmetry-distinct sites (fractional):
Na  0.0000  0.0000  0.0000 [2 per cell]  8 S 3.54
Cd  0.0000  0.5000  0.2500 [4 per cell]  4 S 2.73
S  0.0000  0.0000  0.3712 [4 per cell]  4 Cd 2.73

---

b.
Compound: NaCd2S2
Source: the Alexandria database
Functional: PBE
Structure: optimized geometry

a = 5.0443 Å, b = 5.0443 Å, c = 9.4416 Å
α = 90.00°, β = 90.00°, γ = 90.00°
Last column: nearest neighbours and their distance in Å.
Space group I4/mmm (No. 139)
Symmetry-distinct sites (fractional):
Na  0.0000  0.0000  0.0000 [2 per cell]  2 Cd 3.31, 8 S 3.45
Cd  0.0000  0.0000  0.3504 [4 per cell]  4 S 2.69, 1 Cd 2.82
S  0.0000  0.5000  0.2500 [4 per cell]  4 Cd 2.69

---

The structure with the least stability is a.

---

a.
Compound: NaCdSbS3
Source: the Alexandria database
Functional: PBE
Structure: optimized geometry

a = 8.2370 Å, b = 8.3375 Å, c = 17.2611 Å
α = 90.00°, β = 103.17°, γ = 90.00°
Last column: nearest neighbours and their distance in Å.
Space group C2/c (No. 15)
Symmetry-distinct sites (fractional):
Na  0.1618  0.1462  0.0793 [8 per cell]  6 S 2.91-3.01
Cd  0.0000  0.1364  0.7500 [4 per cell]  4 S 2.63-2.68
Cd  0.0000  0.3714  0.2500 [4 per cell]  4 S 2.60-2.69
Sb  0.1781  0.3811  0.5944 [8 per cell]  3 S 2.48-2.50
S  0.0515  0.4287  0.4016 [8 per cell]  1 Sb 2.48, 1 Cd 2.60
S  0.0962  0.0795  0.9033 [8 per cell]  1 Sb 2.48, 1 Cd 2.63
S  0.2489  0.3381  0.7417 [8 per cell]  1 Sb 2.50, 2 Cd 2.68-2.69

---

b.
Compound: NaCdSbS3
Source: the Alexandria database
Functional: PBE
Structure: optimized geometry

a = 8.2270 Å, b = 4.0002 Å, c = 10.7425 Å
α = 90.00°, β = 96.01°, γ = 90.00°
Last column: nearest neighbours and their distance in Å.
Space group P2_1/m (No. 11)
Symmetry-distinct sites (fractional):
Na  0.2401  0.2500  0.2415 [2 per cell]  5 S 2.85-2.95
Cd  0.1268  0.7500  0.5923 [2 per cell]  4 S 2.54-2.60
Sb  0.3669  0.2500  0.8649 [2 per cell]  3 S 2.45-2.69
S  0.0535  0.7500  0.3507 [2 per cell]  3 Cd 2.60, 2 Na 2.85
S  0.3410  0.7500  0.0625 [2 per cell]  1 Sb 2.45
S  0.4134  0.7500  0.7053 [2 per cell]  1 Cd 2.54, 2 Sb 2.69

---

The structure with the least stability is b.

---

a.
Compound: Na2Cd2Sb
Source: the Alexandria database
Functional: PBE
Structure: optimized geometry

a = 7.5568 Å, b = 7.5568 Å, c = 4.9943 Å
α = 90.00°, β = 90.00°, γ = 90.00°
Last column: nearest neighbours and their distance in Å.
Space group P4/mbm (No. 127)
Symmetry-distinct sites (fractional):
Na  0.1749  0.3251  0.0000 [4 per cell]  6 Cd 3.25-3.42
Cd  0.1304  0.6304  0.5000 [4 per cell]  1 Cd 2.79, 2 Sb 2.96
Sb  0.0000  0.0000  0.5000 [2 per cell]  4 Cd 2.96

---

b.
Compound: Na2Cd2Sb
Source: the Alexandria database
Functional: PBE
Structure: optimized geometry

a = 8.5992 Å, b = 8.5992 Å, c = 3.6790 Å
α = 90.00°, β = 90.00°, γ = 90.00°
Last column: nearest neighbours and their distance in Å.
Space group P4/mbm (No. 127)
Symmetry-distinct sites (fractional):
Na  0.1627  0.3373  0.0000 [4 per cell]  6 Cd 3.08-3.16, 2 Sb 3.22
Cd  0.1344  0.6344  0.5000 [4 per cell]  6 Na 3.08-3.16, 1 Cd 3.27
Sb  0.0000  0.0000  0.0000 [2 per cell]  4 Na 3.22

---

c.
Compound: Na2Cd2Sb
Source: the Alexandria database
Functional: PBE
Structure: optimized geometry

a = 4.2986 Å, b = 4.2986 Å, c = 14.8171 Å
α = 90.00°, β = 90.00°, γ = 90.00°
Last column: nearest neighbours and their distance in Å.
Space group I4/mmm (No. 139)
Symmetry-distinct sites (fractional):
Na  0.0000  0.5000  0.2500 [4 per cell]  4 Na 3.04, 4 Cd 3.14
Cd  0.0000  0.0000  0.0956 [4 per cell]  1 Cd 2.83, 4 Na 3.14
Sb  0.0000  0.0000  0.5000 [2 per cell]  8 Cd 3.35

---

The structure with the least stability is c.